GGA+U Cs4K2Co2O5, relaxed; magnetic moment = 6.0 μB/cell; calculated volume = 22.37 Å³ per atom; total DFT energy (no corrections) = -4.268 eV per atom; mass density = 4.613 g/cm³
1.0
3.518 -5.948 0.000
3.518 5.948 0.000
-0.193 0.000 6.948
Co Cs K O
2 4 2 5
Cartesian
1.333 0.000 1.451 Co
5.509 0.000 5.498 Co
3.518 -3.050 0.000 Cs
3.518 3.050 0.000 Cs
4.711 0.000 2.121 Cs
2.131 0.000 4.828 Cs
3.421 -3.263 3.474 K
3.421 3.263 3.474 K
0.000 0.000 0.000 O
1.900 -1.627 2.051 O
1.900 1.627 2.051 O
4.942 -1.627 4.897 O
4.942 1.627 4.897 O



GGA+U CsK2CoO2, relaxed; magnetic moment = 2.0 μB/cell; calculated volume = 22.58 Å³ per atom; total DFT energy (no corrections) = -4.080 eV per atom; mass density = 3.702 g/cm³
1.0
-5.244 0.000 0.000
0.000 -5.244 0.000
2.622 2.622 4.928
Co Cs K O
1 1 2 2
Cartesian
-2.622 -2.622 0.000 Co
0.000 0.000 0.000 Cs
-2.622 0.000 2.464 K
0.000 -2.622 2.464 K
-2.622 -2.622 1.764 O
0.000 0.000 3.164 O